<w>
{"formula": "AgBSe2N", "functional": "PBE", "state": "optimized geometry", "dos_ef_per_ev_fu": 4.1, "lattice_angstrom": [[-1.8033, -4.8566, -0.4941], [3.3112, -1.6039, 3.6805], [-2.7340, 0.7324, 2.7789]], "species": ["B", "Se", "Se", "Ag", "N"], "frac_coords": [[0.5000, 0.5000, 0.5000], [0.0000, 0.5000, 0.0000], [0.5000, 0.0000, 0.0000], [0.0000, 0.0000, 0.0000], [0.0000, 0.0000, 0.5000]]}



<x>
{"formula": "AgBSe2N", "functional": "PBE", "state": "optimized geometry", "dos_ef_per_ev_fu": 3.2, "lattice_angstrom": [[5.9989, 0.0000, 0.0000], [0.0000, 5.9989, 0.0000], [0.0000, 0.0000, 2.6217]], "species": ["B", "Se", "Se", "Ag", "N"], "frac_coords": [[0.0000, 0.0000, 0.0000], [0.0000, 0.5000, 0.0000], [0.5000, 0.0000, 0.0000], [0.5000, 0.5000, 0.5000], [0.0000, 0.0000, 0.5000]]}



Energetically preferred structure: <x> | next structure: +174.0 kJ/mol of atoms